# 1
A relaxed Tb7Ho4Zr crystal, computed with GGA-PBE.

Output
E_form, meV per atom: 28
E_tot, eV per atom: -4.912
Total magnetic moment, μB/f.u.: 0.00

Cell and atoms, written as extended XYZ:
```
12
Lattice="6.133 0.000 0.000 0.003 7.096 0.000 2.046 0.000 8.481" Properties=species:S:1:pos:R:3 pbc="T T T"
Tb 0.000 0.000 0.000
Tb 2.077 7.095 2.857
Tb 3.057 5.281 5.695
Tb 5.113 1.831 8.480
Tb 3.069 5.265 0.001
Tb 5.125 1.815 2.785
Tb 6.105 0.001 5.623
Ho 1.997 3.548 2.775
Ho 3.055 1.817 5.701
Ho 5.127 5.278 2.780
Ho 6.185 3.548 5.706
Zr 0.002 3.548 0.000
```

***

# 2
A relaxed GdYPt crystal, computed with GGA-PBE.

Output
E_form, meV per atom: -830
E_tot, eV per atom: -9.691
ΔE to the lowest computed polymorph, eV/atom: 0.000
Total magnetic moment, μB/f.u.: 7.15

Cell and atoms, written as extended XYZ:
```
12
Lattice="6.920 0.000 0.000 0.000 6.920 0.000 0.000 0.000 6.920" Properties=species:S:1:pos:R:3 pbc="T T T"
Gd 0.000 0.000 0.000
Gd 0.000 3.460 3.460
Gd 3.460 0.000 3.460
Gd 3.460 3.460 0.000
Y 0.000 0.000 3.460
Y 0.000 3.460 0.000
Y 3.460 0.000 0.000
Y 3.460 3.460 3.460
Pt 1.730 1.730 1.730
Pt 1.730 5.190 5.190
Pt 5.190 1.730 5.190
Pt 5.190 5.190 1.730
```

***

# 3
A relaxed Y2MgTa crystal, computed with GGA-PBE.

Output
E_form, meV per atom: 382
E_tot, eV per atom: -6.212
Total magnetic moment, μB/f.u.: 0.00

Cell and atoms, written as extended XYZ:
```
8
Lattice="10.640 0.000 0.000 0.000 3.189 0.000 -0.960 0.000 5.958" Properties=species:S:1:pos:R:3 pbc="T T T"
Y 2.375 0.000 1.413
Y 1.985 1.594 4.545
Y 7.695 1.594 1.413
Y 7.305 0.000 4.545
Mg -0.480 0.000 2.979
Mg 4.840 1.594 2.979
Ta 0.000 1.594 0.000
Ta 5.320 0.000 0.000
```